(1)
Computed, not measured: BOs2W2 after structural relaxation at the PBE-GGA level of DFT.

Final energy ... -109.877 eV per cell
Space group ... Pbam, No. 55
DFT formation energy ... 0.10 eV per formula unit
Total moment ... 0.00 μB/f.u.
DOS(E_F) ... 4.4 states/eV per cell

Lattice parameters (Å, degrees): 2.8589 4.6465 10.2962 90.00 90.00 90.00
With the nearest neighbours (Å) after each atom.
Atoms (fractional coordinates):
Os  0.5000  0.2634  0.0910  2 B 2.10
Os  0.5000  0.7634  0.4090  2 B 2.10
Os  0.5000  0.2366  0.5910  2 B 2.10
Os  0.5000  0.7366  0.9090  2 B 2.10
B  0.0000  0.5000  0.5000  4 Os 2.10, 2 W 2.17
B  0.0000  0.0000  0.0000  4 Os 2.10, 2 W 2.17
W  0.0000  0.7612  0.6747  1 B 2.17
W  0.0000  0.7388  0.1747  1 B 2.17
W  0.0000  0.2612  0.8253  1 B 2.17
W  0.0000  0.2388  0.3253  1 B 2.17

(2)
Computed, not measured: RbYbF3 after structural relaxation at the PBE-GGA level of DFT.

Final energy ... -26.340 eV per cell
Space group ... Pm-3m, No. 221
Uncorrected formation energy ... -3.646 eV per atom
Total moment ... 0.00 μB/f.u.
DOS(E_F) ... 0.0 states/eV per cell

Lattice parameters (Å, degrees): 4.4410 4.4410 4.4410 90.00 90.00 90.00
With the nearest neighbours (Å) after each atom.
Atoms (fractional coordinates):
Rb  0.0000  0.0000  0.0000  12 F 3.14
F  0.5000  0.5000  0.0000  2 Yb 2.22
F  0.5000  0.0000  0.5000  2 Yb 2.22
F  0.0000  0.5000  0.5000  2 Yb 2.22
Yb  0.5000  0.5000  0.5000  6 F 2.22

(3)
Computed, not measured: RbIn2HgRh after structural relaxation at the PBE-GGA level of DFT.

Final energy ... -15.241 eV per cell
Space group ... P4/mmm, No. 123
DFT formation energy ... -1.14 eV per formula unit
Total moment ... 0.00 μB/f.u.
DOS(E_F) ... 1.5 states/eV per cell

Lattice parameters (Å, degrees): 5.1964 5.1964 5.4830 90.00 90.00 90.00
With the nearest neighbours (Å) after each atom.
Atoms (fractional coordinates):
Hg  0.0000  0.0000  0.5000  2 Rh 2.74
Rb  0.5000  0.5000  0.5000  4 Hg 3.67, 8 In 3.78
Rh  0.0000  0.0000  0.0000  4 In 2.60, 2 Hg 2.74
In  0.5000  0.0000  0.0000  2 Rh 2.60
In  0.0000  0.5000  0.0000  2 Rh 2.60